(1)
Here is a PBEsol-optimized structure of Y2RuCl from the Alexandria database. Energies are from meta-GGA SCAN.

## Properties
**Calculated total energy**: -100.250 eV per cell
**ΔE_f (raw)**: -0.440 eV/atom
**Energy above the most stable polymorph in this dataset**: 66.3 kJ per mole of atoms
**Space-group type**: I-4m2 (119)

a = 3.842 Å, b = 3.842 Å, c = 6.148 Å
α = 108.21°, β = 108.21°, γ = 90.00°
Atoms (fractional coordinates):
Y 0.000 0.000 0.000
Y 0.750 0.250 0.500
Ru 0.250 0.750 0.500
Cl 0.500 0.500 0.000

(2)
Here is a PBEsol-optimized structure of YRuCl from the Alexandria database. Energies are from meta-GGA SCAN.

## Properties
**Calculated total energy**: -70.395 eV per cell
**ΔE_f (raw)**: 0.084 eV/atom
**Space-group type**: F-43m (216)

a = 4.562 Å, b = 4.562 Å, c = 4.562 Å
α = 60.00°, β = 60.00°, γ = 60.00°
Atoms (fractional coordinates):
Y 0.750 0.750 0.750
Ru 0.500 0.500 0.500
Cl 0.000 0.000 0.000

(3)
Here is a PBEsol-optimized structure of YRuCl from the Alexandria database. Energies are from meta-GGA SCAN.

## Properties
**Calculated total energy**: -71.972 eV per cell
**ΔE_f (raw)**: -0.442 eV/atom
**Space-group type**: P3m1 (156)

a = 3.343 Å, b = 3.343 Å, c = 6.413 Å
α = 90.00°, β = 90.00°, γ = 120.00°
Atoms (fractional coordinates):
Y 0.667 0.333 0.335
Ru 0.333 0.667 0.635
Cl 0.000 0.000 0.030

(4)
Here is a PBEsol-optimized structure of Y2RuCl from the Alexandria database. Energies are from meta-GGA SCAN.

## Properties
**Calculated total energy**: -103.000 eV per cell
**ΔE_f (raw)**: -1.128 eV/atom
**Energy above the most stable polymorph in this dataset**: 0.0 kJ per mole of atoms
**Space-group type**: P2/m (10)

a = 3.335 Å, b = 3.388 Å, c = 7.902 Å
α = 90.11°, β = 90.00°, γ = 90.00°
Atoms (fractional coordinates):
Y 0.000 0.999 0.792
Y 0.000 0.001 0.208
Ru 0.500 0.500 0.000
Cl 0.500 0.000 0.500

(5)
Here is a PBEsol-optimized structure of Y2RuCl from the Alexandria database. Energies are from meta-GGA SCAN.

## Properties
**Calculated total energy**: -101.783 eV per cell
**ΔE_f (raw)**: -0.823 eV/atom
**Energy above the most stable polymorph in this dataset**: 29.4 kJ per mole of atoms
**Space-group type**: Amm2 (38)

a = 3.348 Å, b = 4.598 Å, c = 5.590 Å
α = 90.00°, β = 107.42°, γ = 90.00°
Atoms (fractional coordinates):
Y 0.991 0.500 0.981
Y 0.256 0.000 0.513
Ru 0.738 0.500 0.476
Cl 0.515 0.000 0.030

(6)
Here is a PBEsol-optimized structure of Y2RuCl from the Alexandria database. Energies are from meta-GGA SCAN.

## Properties
**Calculated total energy**: -102.063 eV per cell
**ΔE_f (raw)**: -0.893 eV/atom
**Energy above the most stable polymorph in this dataset**: 22.6 kJ per mole of atoms
**Space-group type**: Imm2 (44)

a = 3.336 Å, b = 3.632 Å, c = 7.819 Å
α = 103.43°, β = 102.32°, γ = 90.00°
Atoms (fractional coordinates):
Y 0.069 0.069 0.137
Y 0.786 0.286 0.573
Ru 0.197 0.697 0.394
Cl 0.448 0.448 0.896

(7)
Here is a PBEsol-optimized structure of YRuCl2 from the Alexandria database. Energies are from meta-GGA SCAN.

## Properties
**Calculated total energy**: -80.844 eV per cell
**ΔE_f (raw)**: -0.555 eV/atom
**Energy above the most stable polymorph in this dataset**: 0.0 kJ per mole of atoms
**Space-group type**: I-4m2 (119)

a = 3.753 Å, b = 3.753 Å, c = 5.620 Å
α = 109.51°, β = 109.51°, γ = 90.00°
Atoms (fractional coordinates):
Y 0.250 0.750 0.500
Ru 0.500 0.500 0.000
Cl 0.000 0.000 0.000
Cl 0.750 0.250 0.500

(8)
Here is a PBEsol-optimized structure of ZnRu2Cl from the Alexandria database. Energies are from meta-GGA SCAN.

## Properties
**Calculated total energy**: -88.719 eV per cell
**ΔE_f (raw)**: 0.607 eV/atom
**Energy above the most stable polymorph in this dataset**: 10.2 kJ per mole of atoms
**Space-group type**: P4/mmm (123)

a = 2.965 Å, b = 2.965 Å, c = 6.065 Å
α = 90.00°, β = 90.00°, γ = 90.00°
Atoms (fractional coordinates):
Ru 0.000 0.000 0.752
Ru 0.000 0.000 0.248
Zn 0.500 0.500 0.000
Cl 0.500 0.500 0.500